# 1
Here is a relaxed structure of Th2UCo6 from Alexandria. Energies are from PBE.

```
Th2UCo6
1.0
5.476 -0.028 -0.016
0.030 5.521 0.008
0.030 2.757 4.783
Th U Co
2 1 6
direct
0.802 0.667 0.667
0.198 0.333 0.333
0.000 0.000 0.000
0.321 0.348 0.826
0.321 0.825 0.825
0.321 0.826 0.348
0.679 0.652 0.174
0.679 0.175 0.175
0.679 0.174 0.652
```


# 2
Here is a relaxed structure of LaFe2Cu from Alexandria. Energies are from PBE.

```
LaFe2Cu
1.0
3.246 0.000 0.000
0.000 3.244 0.000
0.000 0.000 6.542
Cu Fe La
1 2 1
direct
0.500 0.500 0.750
0.000 0.000 0.923
0.000 0.000 0.577
0.500 0.500 0.250
```


# 3
Here is a relaxed structure of ZrCoTc2C from Alexandria. Energies are from PBE.

```
ZrCoTc2C
1.0
4.674 0.000 0.000
0.000 3.509 0.000
0.000 0.000 4.674
C Co Tc Zr
1 1 2 1
direct
0.000 0.500 0.000
0.000 0.000 0.000
0.000 0.000 0.500
0.500 0.000 0.000
0.500 0.500 0.500
```

- energy relative to the lowest polymorph listed for this composition (meV per atom) = 1231


# 4
Here is a relaxed structure of Ba2As4Pd3Au from Alexandria. Energies are from PBE.

```
Ba2As4Pd3Au
1.0
-2.817 3.434 1.285
-2.773 -0.936 -3.579
-5.355 -6.589 5.873
Ba As Pd Au
2 4 3 1
direct
0.500 0.000 0.248
0.000 0.500 0.752
0.500 0.500 0.000
0.000 0.000 0.000
0.500 0.000 0.635
0.000 0.500 0.365
0.000 0.000 0.500
0.500 0.000 0.887
0.000 0.500 0.113
0.500 0.500 0.500
```


# 5
Here is a relaxed structure of HfZrRuAu from Alexandria. Energies are from PBE.

```
HfZrRuAu
1.0
-4.236 1.781 -1.113
-3.424 0.167 3.256
-1.360 4.160 1.789
Hf Au Zr Ru
1 1 1 1
direct
0.000 0.000 0.000
0.250 0.250 0.250
0.500 0.500 0.500
0.750 0.750 0.750
```


# 6
Here is a relaxed structure of ZrTlRu2 from Alexandria. Energies are from PBE.

```
ZrTlRu2
1.0
1.954 -4.001 1.274
-2.406 -3.947 -0.286
1.106 -3.160 -3.201
Ru Tl Zr
2 1 1
direct
0.250 0.250 0.250
0.750 0.750 0.750
0.500 0.500 0.500
0.000 0.000 0.000
```

- energy relative to the lowest polymorph listed for this composition (meV per atom) = 4


no.,total moment (μB/cell),density (g/cm3),E_form (eV per atom)
1,0.005,12.13,-0.191
2,4.775,7.57,0.327
3,2.126,7.76,0.999
4,0.000,8.21,-0.717
5,0.000,12.61,-0.475
6,0.000,11.77,-0.093